The following is a PBE calculation of a relaxed structure of Al2PSe, from the Alexandria database.

a = 3.2068 Å, b = 3.2403 Å, c = 6.4944 Å
α = 90.00°, β = 90.00°, γ = 90.00°
Space group Pmmm (No. 47)
One atom of each set of equivalent atoms:
Al: 0.0000 0.0000 0.2251 [2 per cell]
P: 0.5000 0.5000 0.0000 [1 per cell]
Se: 0.5000 0.5000 0.5000 [1 per cell]

## Properties
Mass density   4.03 Mg/m³
Energy relative to the elements, uncorrected   46 meV per atom
Final energy   -16.2 eV per cell
Energy above the lowest structure with this stoichiometry   520 meV per atom